Entry 1:
# Tm4Sb2Os PBE optimized geometry
# E_form (uncorrected) = -0.651 eV/atom
# Density of states at the Fermi level = 4.09 states/eV/f.u.
data_Tm4Sb2Os
_symmetry_space_group_name_H-M 'P b a m'
_symmetry_Int_Tables_number 55
_cell_length_a 7.697
_cell_length_b 11.911
_cell_length_c 4.311
_cell_angle_alpha 90.00
_cell_angle_beta 90.00
_cell_angle_gamma 90.00
loop_
_symmetry_equiv_pos_as_xyz
'x,y,z'
'-x,-y,-z'
'-x,-y,z'
'x,y,-z'
'x+1/2,-y+1/2,-z'
'-x+1/2,y+1/2,z'
'-x+1/2,y+1/2,-z'
'x+1/2,-y+1/2,z'
loop_
_atom_site_label
_atom_site_type_symbol
_atom_site_fract_x
_atom_site_fract_y
_atom_site_fract_z
_atom_site_occupancy
Tm1 Tm 0.133 0.200 0.000 1
Tm2 Tm 0.214 0.944 0.500 1
Sb1 Sb 0.080 0.675 0.500 1
Os1 Os 0.000 0.000 0.000 1



Entry 2:
# NdTiBeIr2 PBE optimized geometry
# Density of states at the Fermi level = 2.08 states/eV/f.u.
# E_form = -640.8 meV/atom
data_NdTiBeIr2
_symmetry_space_group_name_H-M 'I -4 m 2'
_symmetry_Int_Tables_number 119
_symmetry_space_group_name_Hall 'I -4 -2'
_cell_length_a 3.980
_cell_length_b 3.980
_cell_length_c 11.344
_cell_angle_alpha 90.00
_cell_angle_beta 90.00
_cell_angle_gamma 90.00
loop_
_atom_site_label
_atom_site_type_symbol
_atom_site_fract_x
_atom_site_fract_y
_atom_site_fract_z
_atom_site_occupancy
Nd1 Nd 0.000 0.000 0.000 1
Ti1 Ti 0.000 0.500 0.250 1
Be1 Be 0.000 0.500 0.750 1
Ir1 Ir 0.000 0.000 0.381 1



Entry 3:
# Sm4RuRh PBE optimized geometry
# Density of states at the Fermi level = 5.05 states/eV/f.u.
# Relative energy among the computed polymorphs = 0.0 kJ per mole of atoms
# E_form = -414.9 meV/atom
data_Sm4RuRh
_symmetry_space_group_name_H-M 'C 1 2/c 1'
_symmetry_Int_Tables_number 15
_cell_length_a 9.053
_cell_length_b 13.347
_cell_length_c 6.413
_cell_angle_alpha 90.00
_cell_angle_beta 124.68
_cell_angle_gamma 90.00
loop_
_symmetry_equiv_pos_as_xyz
'x,y,z'
'-x,-y,-z'
'-x,y,-z+1/2'
'x,-y,z+1/2'
'x+1/2,y+1/2,z'
'-x+1/2,-y+1/2,-z'
'-x+1/2,y+1/2,-z+1/2'
'x+1/2,-y+1/2,z+1/2'
loop_
_atom_site_label
_atom_site_type_symbol
_atom_site_fract_x
_atom_site_fract_y
_atom_site_fract_z
_atom_site_occupancy
Sm1 Sm 0.133 0.176 0.103 1
Sm2 Sm 0.197 0.434 0.267 1
Ru1 Ru 0.000 0.003 0.750 1
Rh1 Rh 0.000 0.364 0.750 1



For reference, volume by record: 395; 180; 637 Å³/cell.